Entry 1:
Compound: NaPm4Tl3
Source: Alexandria
Functional: PBE
Structure: optimized geometry

Cell: 8.9626 8.9626 8.9626 Å, 144.93 144.93 50.44°
Last column: nearest neighbours and their distance in Å.
Positions (direct):
Na  0.0000  0.0000  0.0000  8 Pm 3.41, 4 Tl 3.82
Pm  0.1284  0.6284  0.5000  6 Tl 3.31-3.41, 2 Na 3.41
Pm  0.3716  0.8716  0.5000  6 Tl 3.31-3.41, 2 Na 3.41
Pm  0.6284  0.1284  0.5000  6 Tl 3.31-3.41, 2 Na 3.41
Pm  0.8716  0.3716  0.5000  6 Tl 3.31-3.41, 2 Na 3.41
Tl  0.2465  0.2465  0.0000  8 Pm 3.31-3.38
Tl  0.5000  0.5000  0.0000  8 Pm 3.41, 4 Na 3.82
Tl  0.7535  0.7535  0.0000  8 Pm 3.31-3.38


Entry 2:
Compound: ErCuAg4
Source: Alexandria
Functional: PBE
Structure: optimized geometry

Cell: 5.4861 5.4861 5.4861 Å, 60.00 60.00 60.00°
Last column: nearest neighbours and their distance in Å.
Positions (direct):
Er  0.0000  0.0000  0.0000  12 Ag 3.22, 4 Cu 3.36
Cu  0.2500  0.2500  0.2500  12 Ag 3.22, 4 Er 3.36
Ag  0.1259  0.6247  0.6247  6 Ag 2.74-2.75
Ag  0.6247  0.1259  0.6247  6 Ag 2.74-2.75
Ag  0.6247  0.6247  0.1259  6 Ag 2.74-2.75
Ag  0.6247  0.6247  0.6247  6 Ag 2.74-2.75


Entry 3:
Compound: BaRu3
Source: Alexandria
Functional: PBE
Structure: optimized geometry

Cell: 5.8088 5.8088 5.8088 Å, 150.52 61.95 126.84°
Last column: nearest neighbours and their distance in Å.
Positions (direct):
Ba  0.0000  0.0000  0.0000  10 Ru 2.95-3.20, 2 Ba 2.96
Ru  0.3339  0.5500  0.7839  2 Ru 2.63
Ru  0.4920  0.9920  0.5000  4 Ru 2.63
Ru  0.7662  0.5500  0.2161  2 Ru 2.63


Entry 4:
Compound: Pm3AlZn2Pd9
Source: Alexandria
Functional: PBE
Structure: optimized geometry

Cell: 7.2442 7.2442 6.7527 Å, 90.00 90.00 120.00°
Last column: nearest neighbours and their distance in Å.
Positions (direct):
Pm  0.0000  0.0000  0.0000  6 Pd 3.04, 2 Al 3.38
Pm  0.3333  0.6667  0.6700  6 Pd 3.06-3.12, 2 Zn 3.37-3.39
Pm  0.6667  0.3333  0.3300  6 Pd 3.06-3.12, 2 Zn 3.37-3.39
Al  0.0000  0.0000  0.5000  6 Pd 2.34
Zn  0.3333  0.6667  0.1715  6 Pd 2.39-2.40
Zn  0.6667  0.3333  0.8285  6 Pd 2.39-2.40
Pd  0.0000  0.5000  0.0000  2 Zn 2.39
Pd  0.1632  0.3264  0.3325  1 Al 2.34, 1 Zn 2.40
Pd  0.1632  0.8368  0.3325  1 Al 2.34, 1 Zn 2.40
Pd  0.3264  0.1632  0.6675  1 Al 2.34, 1 Zn 2.40
Pd  0.5000  0.0000  0.0000  2 Zn 2.39
Pd  0.5000  0.5000  0.0000  2 Zn 2.39
Pd  0.6736  0.8368  0.3325  1 Al 2.34, 1 Zn 2.40
Pd  0.8368  0.1632  0.6675  1 Al 2.34, 1 Zn 2.40
Pd  0.8368  0.6736  0.6675  1 Al 2.34, 1 Zn 2.40


Entry 5:
Compound: Ce2TmGa
Source: Alexandria
Functional: PBE
Structure: optimized geometry

Cell: 4.4114 4.4114 5.0592 Å, 90.00 90.00 90.00°
Last column: nearest neighbours and their distance in Å.
Positions (direct):
Ce  0.0000  0.5000  0.0000  4 Ce 3.12, 4 Tm 3.36, 4 Ga 3.36
Ce  0.5000  0.0000  0.0000  4 Ce 3.12, 4 Tm 3.36, 4 Ga 3.36
Tm  0.0000  0.0000  0.5000  4 Ga 3.12, 8 Ce 3.36
Ga  0.5000  0.5000  0.5000  4 Tm 3.12, 8 Ce 3.36

Properties
* energy relative to the lowest polymorph listed for this composition: 37.1 meV/atom


Entry 6:
Compound: NaCd2Au3
Source: Alexandria
Functional: PBE
Structure: optimized geometry

Cell: 7.0742 7.0742 5.7512 Å, 90.00 90.00 86.99°
Last column: nearest neighbours and their distance in Å.
Positions (direct):
Na  0.2422  0.7578  0.7500  5 Au 3.06-3.43
Na  0.7578  0.2422  0.2500  5 Au 3.06-3.43
Cd  0.2591  0.2591  0.0000  6 Au 2.81-2.94, 2 Cd 2.88
Cd  0.2591  0.2591  0.5000  6 Au 2.81-2.94, 2 Cd 2.88
Cd  0.7409  0.7409  0.0000  6 Au 2.81-2.94, 2 Cd 2.88
Cd  0.7409  0.7409  0.5000  6 Au 2.81-2.94, 2 Cd 2.88
Au  0.0381  0.5580  0.2500  3 Au 2.81-3.05, 4 Cd 2.81-2.94, 1 Na 3.06
Au  0.4342  0.5658  0.2500  2 Au 2.81, 4 Cd 2.93
Au  0.4420  0.9619  0.2500  3 Au 2.81-3.05, 4 Cd 2.81-2.94, 1 Na 3.06
Au  0.5580  0.0381  0.7500  3 Au 2.81-3.05, 4 Cd 2.81-2.94, 1 Na 3.06
Au  0.5658  0.4342  0.7500  2 Au 2.81, 4 Cd 2.93
Au  0.9619  0.4420  0.7500  3 Au 2.81-3.05, 4 Cd 2.81-2.94, 1 Na 3.06


Entry 7:
Compound: LiDyZnNi
Source: Alexandria
Functional: PBE
Structure: optimized geometry

Cell: 4.5433 4.5433 4.5433 Å, 60.00 60.00 60.00°
Last column: nearest neighbours and their distance in Å.
Positions (direct):
Li  0.0000  0.0000  0.0000  4 Dy 2.78, 4 Zn 2.78
Dy  0.2500  0.2500  0.2500  4 Li 2.78, 4 Ni 2.78
Zn  0.7500  0.7500  0.7500  4 Li 2.78, 4 Ni 2.78
Ni  0.5000  0.5000  0.5000  4 Dy 2.78, 4 Zn 2.78


Entry 8:
Compound: Co3Ir2
Source: Alexandria
Functional: PBE
Structure: optimized geometry

Cell: 11.4763 4.4946 4.9487 Å, 90.00 96.79 90.00°
Last column: nearest neighbours and their distance in Å.
Positions (direct):
Co  0.0000  0.0897  0.2500  8 Co 2.49-2.60, 4 Ir 2.60-2.63
Co  0.0000  0.9103  0.7500  8 Co 2.49-2.60, 4 Ir 2.60-2.63
Co  0.0873  0.4101  0.9155  7 Co 2.40-2.60, 4 Ir 2.54-2.66
Co  0.0873  0.5899  0.4155  7 Co 2.40-2.60, 4 Ir 2.54-2.66
Co  0.4078  0.0854  0.3637  7 Co 2.49-2.60, 4 Ir 2.57-2.76
Co  0.4078  0.9146  0.8637  7 Co 2.49-2.60, 4 Ir 2.57-2.76
Co  0.5000  0.4088  0.7500  8 Co 2.53-2.61, 4 Ir 2.55-2.57
Co  0.5000  0.5912  0.2500  8 Co 2.53-2.61, 4 Ir 2.55-2.57
Co  0.5922  0.0854  0.1363  7 Co 2.49-2.60, 4 Ir 2.57-2.76
Co  0.5922  0.9146  0.6363  7 Co 2.49-2.60, 4 Ir 2.57-2.76
Co  0.9127  0.4101  0.5845  7 Co 2.40-2.60, 4 Ir 2.54-2.66
Co  0.9127  0.5899  0.0845  7 Co 2.40-2.60, 4 Ir 2.54-2.66
Ir  0.1955  0.0932  0.5747  7 Co 2.60-2.79, 5 Ir 2.61-2.69
Ir  0.1955  0.9068  0.0747  7 Co 2.60-2.79, 5 Ir 2.61-2.69
Ir  0.3101  0.4088  0.9723  6 Co 2.54-2.62, 5 Ir 2.61-2.69
Ir  0.3101  0.5912  0.4723  6 Co 2.54-2.62, 5 Ir 2.61-2.69
Ir  0.6899  0.4088  0.5277  6 Co 2.54-2.62, 5 Ir 2.61-2.69
Ir  0.6899  0.5912  0.0277  6 Co 2.54-2.62, 5 Ir 2.61-2.69
Ir  0.8046  0.0932  0.9253  7 Co 2.60-2.79, 5 Ir 2.61-2.69
Ir  0.8046  0.9068  0.4253  7 Co 2.60-2.79, 5 Ir 2.61-2.69

Properties
* energy relative to the lowest polymorph listed for this composition: 37.4 meV/atom


no.,E_form (kJ/mol of formula units)
1,-192
2,6
3,380
4,-636
5,-94
6,-109
7,-77
8,32